Model w:
DFT (PBE) results for an optimized crystal structure of SrPm5Pb6.

density of states at the Fermi level = 0.9338 states/eV per atom
SG = No. 12

```
SrPm5Pb6
1.0
8.184 -4.573 0.000
8.184 4.573 0.000
-1.588 0.000 4.878
Sr Pm Pb
1 5 6
Cartesian
0.000 0.000 0.000 Sr
1.688 0.000 3.256 Pm
4.959 0.000 1.634 Pm
8.184 0.000 0.000 Pm
9.821 0.000 3.244 Pm
13.092 0.000 1.622 Pm
4.096 2.273 4.051 Pb
7.390 2.252 2.439 Pb
10.684 2.273 0.826 Pb
4.096 -2.273 4.051 Pb
7.390 -2.252 2.439 Pb
10.684 -2.273 0.826 Pb
```

***

Model x:
DFT (PBE) results for an optimized crystal structure of SrPm5Pb6.

density of states at the Fermi level = 0.7934 states/eV per atom
SG = No. 12

```
SrPm5Pb6
1.0
4.404 -8.102 0.000
4.404 8.102 0.000
-3.258 0.000 5.396
Sr Pm Pb
1 5 6
Cartesian
0.000 0.000 0.000 Sr
2.775 5.649 2.698 Pm
4.404 2.855 0.000 Pm
2.775 0.000 2.698 Pm
4.404 -2.855 0.000 Pm
2.775 -5.649 2.698 Pm
1.455 2.776 1.520 Pb
-0.112 0.000 4.281 Pb
1.455 -2.776 1.520 Pb
4.095 2.776 3.876 Pb
5.661 0.000 1.115 Pb
4.095 -2.776 3.876 Pb
```

***

Top of the stability list: model w, leading by 0.015 eV/atom.

***

Model w:
DFT (PBE) results for an optimized crystal structure of SrPmTlPb.

density of states at the Fermi level = 1.0110 states/eV per atom
SG = No. 99

```
SrPmTlPb
1.0
4.058 0.000 0.000
0.000 4.058 0.000
0.000 0.000 7.823
Sr Pm Tl Pb
1 1 1 1
Cartesian
0.000 0.000 0.000 Sr
0.000 0.000 3.898 Pm
2.029 2.029 5.727 Tl
2.029 2.029 2.086 Pb
```

***

Model x:
DFT (PBE) results for an optimized crystal structure of SrPmTlPb.

density of states at the Fermi level = 0.5727 states/eV per atom
SG = No. 216

```
SrPmTlPb
1.0
0.000 4.002 4.002
4.002 0.000 4.002
4.002 4.002 0.000
Sr Pm Tl Pb
1 1 1 1
Cartesian
0.000 0.000 0.000 Sr
4.002 4.002 4.002 Pm
2.001 2.001 2.001 Tl
6.003 6.003 6.003 Pb
```

***

Top of the stability list: model w, leading by 0.021 eV/atom.

***

Model w:
DFT (PBE) results for an optimized crystal structure of TbPm5Pb6.

density of states at the Fermi level = 0.9748 states/eV per atom
SG = No. 71

```
TbPm5Pb6
1.0
-2.513 4.575 7.677
2.513 -4.575 7.677
2.513 4.575 -7.677
Tb Pm Pb
1 5 6
Cartesian
0.000 0.000 0.000 Tb
2.513 0.000 2.542 Pm
0.000 0.000 5.121 Pm
0.000 4.575 0.000 Pm
0.000 0.000 10.234 Pm
0.000 4.575 5.136 Pm
2.513 -2.296 5.131 Pb
2.513 2.270 0.000 Pb
0.000 2.279 2.546 Pb
2.513 2.296 5.131 Pb
0.000 2.305 7.677 Pb
0.000 6.871 2.546 Pb
```

***

Model x:
DFT (PBE) results for an optimized crystal structure of TbPm5Pb6.

density of states at the Fermi level = 0.6774 states/eV per atom
SG = No. 12

```
TbPm5Pb6
1.0
2.984 -7.336 0.000
2.984 7.336 0.000
-1.837 0.000 8.522
Tb Pm Pb
1 5 6
Cartesian
0.000 0.000 0.000 Tb
-0.919 0.000 4.261 Pm
2.065 2.483 4.261 Pm
2.984 2.407 0.000 Pm
2.984 -2.407 0.000 Pm
2.065 -2.483 4.261 Pm
1.585 4.911 6.421 Pb
2.545 4.911 2.100 Pb
2.442 0.000 2.151 Pb
1.688 0.000 6.370 Pb
1.585 -4.911 6.421 Pb
2.545 -4.911 2.100 Pb
```

***

Top of the stability list: model w, leading by 0.009 eV/atom.

***

Model w:
DFT (PBE) results for an optimized crystal structure of TbPm2Pb3.

density of states at the Fermi level = 0.6167 states/eV per atom
SG = No. 15

```
TbPm2Pb3
1.0
8.201 -3.206 0.000
8.201 3.206 0.000
-1.688 0.000 7.269
Tb Pm Pb
2 4 6
Cartesian
6.934 3.173 5.451 Tb
7.779 -3.173 1.817 Tb
4.752 0.028 3.026 Pm
3.908 -0.028 6.660 Pm
10.805 0.028 0.608 Pm
9.961 -0.028 4.242 Pm
2.555 0.030 0.597 Pb
1.711 -0.030 4.231 Pb
7.779 0.035 1.817 Pb
6.934 -0.035 5.451 Pb
13.002 0.030 3.037 Pb
12.158 -0.030 6.672 Pb
```

***

Model x:
DFT (PBE) results for an optimized crystal structure of TbPm2Pb3.

density of states at the Fermi level = 0.8362 states/eV per atom
SG = No. 65

```
TbPm2Pb3
1.0
2.506 -7.662 0.000
2.506 7.662 0.000
0.000 0.000 9.118
Tb Pm Pb
2 4 6
Cartesian
2.506 5.094 0.000 Tb
2.506 -5.094 0.000 Tb
2.506 5.106 4.559 Pm
2.506 0.000 0.000 Pm
2.506 0.000 4.559 Pm
2.506 -5.106 4.559 Pm
0.000 0.000 2.255 Pb
0.000 0.000 6.863 Pb
2.506 2.566 2.251 Pb
2.506 2.566 6.867 Pb
2.506 -2.566 2.251 Pb
2.506 -2.566 6.867 Pb
```

***

Top of the stability list: model x, leading by 0.061 eV/atom.